# 1
The following is a DFT calculation (GGA-PBE) of CaBi4Pb5 after structural relaxation.

Computed properties:
ΔH_f (0 K) (kJ per mole of atoms): -9.2
Total magnetic moment (μB/f.u.): 0.000

a b c (Å): 9.013 9.013 7.485
angles (deg): 93.86 93.86 36.36
Fractional coordinates of all 10 atoms:
Ca1 0.000 0.000 0.000
Bi1 0.170 0.170 0.263
Bi2 0.472 0.472 0.234
Bi3 0.528 0.528 0.766
Bi4 0.830 0.830 0.737
Pb1 0.000 0.000 0.500
Pb2 0.316 0.316 0.980
Pb3 0.335 0.335 0.506
Pb4 0.665 0.665 0.494
Pb5 0.684 0.684 0.020

=====

# 2
The following is a DFT calculation (GGA-PBE) of NdYZnAu after structural relaxation.

Computed properties:
ΔH_f (0 K) (kJ per mole of atoms): -53.7
Total magnetic moment (μB/f.u.): 0.000

a b c (Å): 5.169 5.169 5.169
angles (deg): 60.00 60.00 60.00
Fractional coordinates of all 4 atoms:
Nd1 0.000 0.000 0.000
Y1 0.500 0.500 0.500
Zn1 0.750 0.750 0.750
Au1 0.250 0.250 0.250

=====

Among the records above, which one has the highest ΔH_f (0 K)? CaBi4Pb5

=====

Among the records above, which one has the highest ΔH_f (0 K)? CaBi4Pb5